First-principles (PBE) data for a geometry-optimized KBICl2 structure, as listed in Alexandria via LeMat-Bulk.

Calculated values
Final energy = -1.943 eV per atom
Spin magnetization = 1.080 Bohr magnetons per cell
Energy relative to the elements, uncorrected = 0.66 eV/atom

Cell and atoms, written as CIF:
```
data_KBICl2
_chemical_formula_sum 'K1 B1 I1 Cl2'
_cell_length_a 5.749
_cell_length_b 5.749
_cell_length_c 6.513
_cell_angle_alpha 90.00
_cell_angle_beta 90.00
_cell_angle_gamma 90.00
_symmetry_space_group_name_H-M 'P 4/m m m'
_symmetry_Int_Tables_number 123
_symmetry_space_group_name_Hall '-P 4 2'
loop_
_atom_site_label
_atom_site_fract_x
_atom_site_fract_y
_atom_site_fract_z
K1 0.000 0.000 0.000
B1 0.500 0.500 0.000
I1 0.000 0.000 0.500
Cl1 0.000 0.500 0.500
```